A plane-wave DFT calculation with PBE was carried out for a relaxed structure of PuGaSn.

The structure in POSCAR format:
```
PuGaSn
1.0
4.903 0.000 0.000
-2.451 4.246 0.000
0.000 0.000 6.707
Pu Ga Sn
2 2 2
direct
0.000 0.000 0.000
0.000 0.000 0.500
0.333 0.667 0.250
0.667 0.333 0.750
0.333 0.667 0.750
0.667 0.333 0.250
```

Calculated values
For the density of states at the Fermi level, the calculation gives 12.73 states/eV per cell. The value obtained for the formation energy is -0.307 eV/atom.